(1)
Entry from Alexandria via LeMat-Bulk: TlAgRhPb after structural relaxation (GGA-PBE).

Summary:
E_form	0.20	eV/atom
M_tot	0.000	μB per formula unit

```
TlAgRhPb
1.0
4.900 0.000 0.000
2.450 4.244 0.000
2.450 1.415 4.001
Pb Rh Tl Ag
1 1 1 1
direct
0.250 0.250 0.250
0.000 0.000 0.000
0.750 0.750 0.750
0.500 0.500 0.500
```

=====

(2)
Entry from Alexandria via LeMat-Bulk: VAg2RhPb after structural relaxation (GGA-PBE).

Summary:
E_form	1.71	eV/atom
M_tot	0.070	μB per formula unit

```
VAg2RhPb
1.0
5.093 0.000 0.000
0.000 5.090 0.000
0.000 0.000 5.093
Ag V Pb Rh
2 1 1 1
direct
0.500 0.000 0.000
0.000 0.000 0.500
0.000 0.500 0.000
0.000 0.000 0.000
0.500 0.500 0.500
```

=====

(3)
Entry from Alexandria via LeMat-Bulk: YAgRhPb after structural relaxation (GGA-PBE).

Summary:
E_form	-0.34	eV/atom
M_tot	0.000	μB per formula unit

```
YAgRhPb
1.0
-4.787 0.465 0.982
-3.253 -2.946 -2.198
-2.320 -3.461 2.593
Ag Y Rh Pb
1 1 1 1
direct
0.000 0.000 0.000
0.750 0.750 0.750
0.500 0.500 0.500
0.250 0.250 0.250
```

=====

(4)
Entry from Alexandria via LeMat-Bulk: Ag2RuPb after structural relaxation (GGA-PBE).

Summary:
E_form	0.50	eV/atom
M_tot	0.912	μB per formula unit

```
Ag2RuPb
1.0
3.036 0.000 0.000
0.000 4.405 0.000
0.000 0.000 5.719
Ag Pb Ru
2 1 1
direct
0.000 0.000 0.983
0.000 0.000 0.517
0.500 0.500 0.250
0.500 0.500 0.750
```

=====

(5)
Entry from Alexandria via LeMat-Bulk: AgRuPb4 after structural relaxation (GGA-PBE).

Summary:
E_form	0.89	eV/atom
M_tot	1.648	μB per formula unit

```
AgRuPb4
1.0
5.594 -2.759 0.010
1.806 -3.371 4.927
0.417 -6.207 -0.452
Ag Pb Ru
1 4 1
direct
0.000 0.000 0.000
0.375 0.874 0.375
0.874 0.375 0.375
0.375 0.375 0.375
0.375 0.375 0.874
0.750 0.750 0.750
```

=====

(6)
Entry from Alexandria via LeMat-Bulk: Ag2RuPb after structural relaxation (GGA-PBE).

Summary:
E_form	0.45	eV/atom
M_tot	0.668	μB per formula unit

```
Ag2RuPb
1.0
-4.081 0.130 -3.292
0.673 -2.878 -0.948
-2.753 -1.881 3.339
Pb Ag Ru
1 2 1
direct
0.500 0.250 0.250
0.000 0.504 0.509
0.000 0.996 0.991
0.500 0.750 0.750
```

=====

(7)
Entry from Alexandria via LeMat-Bulk: AgRuPb2 after structural relaxation (GGA-PBE).

Summary:
E above lowest polymorph	15	meV per atom
E_form	0.34	eV/atom
M_tot	0.000	μB per formula unit

```
AgRuPb2
1.0
-3.539 -2.959 -0.078
1.862 -2.175 -1.947
2.816 -3.460 3.482
Ru Pb Ag
1 2 1
direct
0.000 0.705 0.466
0.000 0.978 0.918
0.500 0.272 0.331
0.500 0.545 0.785
```

=====

(8)
Entry from Alexandria via LeMat-Bulk: Ag2RuPb after structural relaxation (GGA-PBE).

Summary:
E_form	0.40	eV/atom
M_tot	0.000	μB per formula unit

```
Ag2RuPb
1.0
3.475 0.000 0.000
0.000 3.475 0.000
0.000 0.000 6.249
Ag Pb Ru
2 1 1
direct
0.500 0.500 0.224
0.000 0.000 0.003
0.000 0.000 0.529
0.500 0.500 0.744
```

=====

(9)
Entry from Alexandria via LeMat-Bulk: Ag2RuPb after structural relaxation (GGA-PBE).

Summary:
E_form	0.52	eV/atom
M_tot	1.676	μB per formula unit

```
Ag2RuPb
1.0
-1.856 -1.331 1.969
0.984 -2.704 -0.901
6.306 0.256 6.117
Ag Ru Pb
2 1 1
direct
0.000 0.000 0.965
0.000 0.000 0.535
0.500 0.500 0.750
0.500 0.500 0.250
```

=====

(10)
Entry from Alexandria via LeMat-Bulk: AgRuPb2 after structural relaxation (GGA-PBE).

Summary:
E above lowest polymorph	159	meV per atom
E_form	0.48	eV/atom
M_tot	0.000	μB per formula unit

```
AgRuPb2
1.0
3.994 0.766 2.779
0.548 4.265 2.402
-0.403 0.132 4.908
Ru Ag Pb
1 1 2
direct
0.000 0.000 0.000
0.500 0.500 0.500
0.750 0.750 0.750
0.250 0.250 0.250
```

=====

(11)
Entry from Alexandria via LeMat-Bulk: AgRuPb2 after structural relaxation (GGA-PBE).

Summary:
E above lowest polymorph	130	meV per atom
E_form	0.45	eV/atom
M_tot	0.000	μB per formula unit

```
AgRuPb2
1.0
7.838 -0.007 -0.017
-3.228 3.880 0.002
1.382 1.173 2.772
Ru Ag Pb
1 1 2
direct
0.000 0.500 0.500
0.500 0.500 0.000
0.000 0.000 0.000
0.500 0.000 0.500
```

=====

(12)
Entry from Alexandria via LeMat-Bulk: Ag2RuPb after structural relaxation (GGA-PBE).

Summary:
E_form	0.43	eV/atom
M_tot	0.524	μB per formula unit

```
Ag2RuPb
1.0
-3.597 1.488 3.621
-2.216 -1.112 4.703
2.055 2.744 3.970
Ag Ru Pb
2 1 1
direct
0.742 0.742 0.823
0.988 0.988 0.928
0.255 0.255 0.342
0.515 0.515 0.407
```

=====

Q: Among the records above, which one has the lowest E_form?
A: YAgRhPb

=====

Q: M_tot of number 7 (AgRuPb2)?
A: 0.000 μB per formula unit

=====

Q: Look up the E_form of the eleventh one.
A: 0.45 eV/atom

=====

Q: Which formula does entry 11 have?
A: AgRuPb2